Below is a relaxed HfVF3 crystal, with properties calculated at the GGA+U level.

Uncorrected energy   -0.2197 Ha/atom
D(E_F)   1.7 states/eV/f.u.
Total moment   5.23 μB per cell

abc: 4.219 4.219 4.219
angles: 90.00 90.00 90.00
Atoms (fractional coordinates):
Hf: 0.000 0.000 0.000
V: 0.500 0.500 0.500
F: 0.000 0.500 0.500
F: 0.500 0.000 0.500
F: 0.500 0.500 0.000